Tc2RuC: optimized geometry, PBE-GGA.

Summary:
Its formation energy is 0.774 eV per atom. Its crystal system is tetragonal.

```
Tc2RuC
1.0
-2.523 2.523 4.971
2.523 -2.523 4.971
2.523 2.523 -4.971
Tc Ru C
4 2 2
Direct
0.053 0.625 0.928 Tc
0.375 0.303 0.428 Tc
0.697 0.125 0.072 Tc
0.875 0.947 0.572 Tc
0.250 0.750 0.500 Ru
0.500 0.500 0.000 Ru
0.000 0.000 0.000 C
0.750 0.250 0.500 C
```

TiTcRu2C: optimized geometry, PBE-GGA.

Summary:
Its formation energy is -0.208 eV per atom. Its crystal system is tetragonal.

```
TiTcRu2C
1.0
4.024 0.000 0.000
0.000 4.024 0.000
0.000 0.000 4.085
Ti Tc Ru C
1 1 2 1
Direct
0.000 0.000 0.000 Ti
0.500 0.500 0.000 Tc
0.000 0.500 0.500 Ru
0.500 0.000 0.500 Ru
0.500 0.500 0.500 C
```

VTcRuC2: optimized geometry, PBE-GGA.

Summary:
Its formation energy is 2.001 eV per atom. Its crystal system is tetragonal.

```
VTcRuC2
1.0
3.829 0.000 0.000
0.000 3.829 0.000
0.000 0.000 4.706
V Tc Ru C
1 1 1 2
Direct
0.000 0.000 0.000 V
0.000 0.000 0.500 Tc
0.500 0.500 0.500 Ru
0.000 0.500 0.000 C
0.500 0.000 0.000 C
```

TcRu2WC: optimized geometry, PBE-GGA.

Summary:
Its formation energy is 0.234 eV per atom. Its crystal system is tetragonal.

```
TcRu2WC
1.0
3.993 0.000 0.000
0.000 3.993 0.000
0.000 0.000 4.177
Tc Ru W C
1 2 1 1
Direct
0.000 0.000 0.000 Tc
0.000 0.500 0.500 Ru
0.500 0.000 0.500 Ru
0.500 0.500 0.000 W
0.500 0.500 0.500 C
```

YTcRu2C: optimized geometry, PBE-GGA.

Summary:
Its formation energy is -0.089 eV per atom. Its crystal system is tetragonal.

```
YTcRu2C
1.0
4.187 0.000 0.000
0.000 4.187 0.000
0.000 0.000 4.187
Y Tc Ru C
1 1 2 1
Direct
0.000 0.000 0.000 Y
0.500 0.500 0.000 Tc
0.000 0.500 0.500 Ru
0.500 0.000 0.500 Ru
0.500 0.500 0.500 C
```

ZrTcRuC2: optimized geometry, PBE-GGA.

Summary:
Its formation energy is 1.451 eV per atom. Its crystal system is tetragonal.

```
ZrTcRuC2
1.0
3.887 0.000 0.000
0.000 3.887 0.000
0.000 0.000 5.146
Zr Tc Ru C
1 1 1 2
Direct
0.000 0.000 0.000 Zr
0.500 0.500 0.000 Tc
0.500 0.500 0.500 Ru
0.000 0.500 0.500 C
0.500 0.000 0.500 C
```

ZrTcRu2C: optimized geometry, PBE-GGA.

Summary:
Its formation energy is -0.283 eV per atom. Its crystal system is tetragonal.

```
ZrTcRu2C
1.0
4.100 0.000 0.000
0.000 4.100 0.000
0.000 0.000 4.156
Zr Tc Ru C
1 1 2 1
Direct
0.000 0.000 0.000 Zr
0.500 0.500 0.000 Tc
0.000 0.500 0.500 Ru
0.500 0.000 0.500 Ru
0.500 0.500 0.500 C
```

Te3RuC: optimized geometry, PBE-GGA.

Summary:
Its crystal system is cubic. The value obtained for the uncorrected formation energy is 1.31 eV/atom. For the relative energy among the computed polymorphs, the calculation gives 0.000 eV/atom.

```
Te3RuC
1.0
4.634 0.000 0.000
0.000 4.634 0.000
0.000 0.000 4.634
Te Ru C
3 1 1
Direct
0.000 0.000 0.500 Te
0.000 0.500 0.000 Te
0.500 0.000 0.000 Te
0.500 0.500 0.500 Ru
0.000 0.000 0.000 C
```